Density functional theory data (PBE-GGA) for La2HgCl after structural relaxation.

Properties
**Energy**: -3.73 eV/atom
**E above lowest polymorph**: 269.1 meV/atom
**Formation energy (no corrections)**: -0.7261 eV/atom
**M_tot**: 1.870 μB per cell

a = 3.9072 Å, b = 3.9072 Å, c = 31.6497 Å
α = 90.00°, β = 90.00°, γ = 120.00°
Last column: nearest neighbours and their distance in Å.
Space group R3m (No. 160, hexagonal axes)
Symmetry-distinct sites (fractional):
La: 0.0000 0.0000 0.0000 (multiplicity 3)  3 Hg 3.33, 3 La 3.72
La: 0.0000 0.0000 0.2400 (multiplicity 3)  3 Cl 2.95
Hg: 0.0000 0.0000 0.7440 (multiplicity 3)  3 La 3.33
Cl: 0.0000 0.0000 0.5134 (multiplicity 3)  3 La 2.95


Density functional theory data (PBE-GGA) for La6Ni2HgCl3 after structural relaxation.

Properties
**Energy**: -4.86 eV/atom
**Formation energy (no corrections)**: -0.9502 eV/atom
**M_tot**: 0.000 μB per cell

a = 18.9086 Å, b = 4.1829 Å, c = 8.8733 Å
α = 90.00°, β = 104.85°, γ = 90.00°
Last column: nearest neighbours and their distance in Å.
Space group C2/m (No. 12)
Symmetry-distinct sites (fractional):
La: 0.0101 0.0000 0.2706 (multiplicity 4)  1 Ni 2.89, 3 Cl 2.96-3.16, 2 Hg 3.15
La: 0.1709 0.5000 0.1122 (multiplicity 4)  2 Ni 2.88, 3 Cl 3.06-3.22, 1 Hg 3.13
La: 0.1747 0.5000 0.5620 (multiplicity 4)  3 Ni 2.88-2.89, 1 Cl 3.21
Ni: 0.1681 0.0000 0.3336 (multiplicity 4)  6 La 2.88-2.89
Hg: 0.0000 0.5000 0.0000 (multiplicity 2)  6 La 3.13-3.15
Cl: 0.0000 0.5000 0.5000 (multiplicity 2)  6 La 2.96-3.21
Cl: 0.1625 0.0000 0.8325 (multiplicity 4)  6 La 3.06-3.24


Density functional theory data (PBE-GGA) for LaHgClO2 after structural relaxation.

Properties
**Energy**: -5.40 eV/atom
**Formation energy (no corrections)**: -2.0008 eV/atom
**M_tot**: 0.000 μB per cell

a = 6.8619 Å, b = 3.8178 Å, c = 7.7454 Å
α = 90.00°, β = 98.02°, γ = 90.00°
Last column: nearest neighbours and their distance in Å.
Space group P2_1/m (No. 11)
Symmetry-distinct sites (fractional):
La: 0.1270 0.2500 0.2153 (multiplicity 2)  5 O 2.42-2.54
Hg: 0.3732 0.2500 0.8337 (multiplicity 2)  2 O 2.03-2.07
Cl: 0.2136 0.7500 0.5429 (multiplicity 2)  2 Hg 3.04, 1 O 3.11, 3 La 3.16-3.19
O: 0.0853 0.2500 0.8847 (multiplicity 2)  1 Hg 2.07
O: 0.3309 0.7500 0.1690 (multiplicity 2)  1 Hg 2.03


Density functional theory data (PBE-GGA) for La3HgOsCl after structural relaxation.

Properties
**Energy**: -5.36 eV/atom
**Formation energy (no corrections)**: -0.6653 eV/atom
**M_tot**: 0.000 μB per cell

a = 8.6436 Å, b = 4.4527 Å, c = 9.7633 Å
α = 90.00°, β = 97.93°, γ = 90.00°
Last column: nearest neighbours and their distance in Å.
Space group P2_1/m (No. 11)
Symmetry-distinct sites (fractional):
La: 0.0619 0.2500 0.3488 (multiplicity 2)  3 Os 2.92-2.93, 2 Hg 3.27
La: 0.2181 0.2500 0.9266 (multiplicity 2)  1 Os 2.70, 2 Cl 2.92
La: 0.3638 0.7500 0.6116 (multiplicity 2)  1 Cl 2.80, 2 Os 2.90
Hg: 0.2889 0.7500 0.2337 (multiplicity 2)  3 La 3.27-3.66, 1 Cl 3.63
Os: 0.1586 0.2500 0.6479 (multiplicity 2)  6 La 2.70-2.93
Cl: 0.4309 0.7500 0.9008 (multiplicity 2)  3 La 2.80-2.92, 2 Cl 3.08


Density functional theory data (PBE-GGA) for La4HgOsCl2 after structural relaxation.

Properties
**Energy**: -5.33 eV/atom
**Formation energy (no corrections)**: -0.9675 eV/atom
**M_tot**: 0.000 μB per cell

a = 7.7509 Å, b = 4.1975 Å, c = 8.0517 Å
α = 90.00°, β = 109.44°, γ = 90.00°
Last column: nearest neighbours and their distance in Å.
Space group P2/m (No. 10)
Symmetry-distinct sites (fractional):
La: 0.2082 0.0000 0.2808 (multiplicity 2)  1 Os 2.76
La: 0.2294 0.5000 0.7118 (multiplicity 2)  2 Os 2.91, 1 Hg 3.11
Hg: 0.5000 0.5000 0.5000 (multiplicity 1)  6 La 3.11-3.16
Os: 0.0000 0.0000 0.5000 (multiplicity 1)  6 La 2.76-2.91
Cl: 0.0000 0.5000 0.0000 (multiplicity 1)  6 La 3.11-3.36
Cl: 0.5000 0.0000 0.0000 (multiplicity 1)  6 La 3.31-3.69


Density functional theory data (PBE-GGA) for LaHgPCl2 after structural relaxation.

Properties
**Energy**: -3.78 eV/atom
**E above lowest polymorph**: 0.0 meV/atom
**Formation energy (no corrections)**: -0.9094 eV/atom
**M_tot**: 2.001 μB per cell

a = 5.5883 Å, b = 5.5883 Å, c = 6.0873 Å
α = 90.00°, β = 90.00°, γ = 90.00°
Last column: nearest neighbours and their distance in Å.
Space group P4/mmm (No. 123)
Symmetry-distinct sites (fractional):
La: 0.0000 0.0000 0.0000 (multiplicity 1)  4 Cl 2.79, 2 P 3.04
Hg: 0.5000 0.5000 0.5000 (multiplicity 1)  4 P 3.95, 8 Cl 4.13
P: 0.0000 0.0000 0.5000 (multiplicity 1)  2 La 3.04
Cl: 0.0000 0.5000 0.0000 (multiplicity 2)  2 La 2.79


Density functional theory data (PBE-GGA) for LaHgP2Cl after structural relaxation.

Properties
**Energy**: -3.56 eV/atom
**E above lowest polymorph**: 144.2 meV/atom
**Formation energy (no corrections)**: 0.0152 eV/atom
**M_tot**: 3.899 μB per cell

a = 5.9526 Å, b = 5.9526 Å, c = 5.5743 Å
α = 90.00°, β = 90.00°, γ = 90.00°
Last column: nearest neighbours and their distance in Å.
Space group P4/mmm (No. 123)
Symmetry-distinct sites (fractional):
La: 0.0000 0.0000 0.0000 (multiplicity 1)  2 Cl 2.79, 4 P 2.98
Hg: 0.5000 0.5000 0.5000 (multiplicity 1)  8 P 4.08, 4 Cl 4.21
P: 0.0000 0.5000 0.0000 (multiplicity 2)  2 La 2.98
Cl: 0.0000 0.0000 0.5000 (multiplicity 1)  2 La 2.79


Density functional theory data (PBE-GGA) for LaHgP2Cl after structural relaxation.

Properties
**Energy**: -3.71 eV/atom
**E above lowest polymorph**: 0.0 meV/atom
**Formation energy (no corrections)**: -0.1290 eV/atom
**M_tot**: 0.000 μB per cell

a = 4.9138 Å, b = 4.9138 Å, c = 5.3785 Å
α = 90.00°, β = 90.00°, γ = 90.00°
Last column: nearest neighbours and their distance in Å.
Space group P4/mmm (No. 123)
Symmetry-distinct sites (fractional):
La: 0.0000 0.0000 0.0000 (multiplicity 1)  4 Cl 3.47, 8 P 3.64
Hg: 0.5000 0.5000 0.5000 (multiplicity 1)  4 P 2.46, 2 Cl 2.69
P: 0.0000 0.5000 0.5000 (multiplicity 2)  2 Hg 2.46
Cl: 0.5000 0.5000 0.0000 (multiplicity 1)  2 Hg 2.69


Density functional theory data (PBE-GGA) for LaHgPCl2 after structural relaxation.

Properties
**Energy**: -3.35 eV/atom
**E above lowest polymorph**: 428.1 meV/atom
**Formation energy (no corrections)**: -0.4813 eV/atom
**M_tot**: 0.172 μB per cell

a = 5.1405 Å, b = 5.1405 Å, c = 5.2034 Å
α = 90.00°, β = 90.00°, γ = 90.00°
Last column: nearest neighbours and their distance in Å.
Space group P4/mmm (No. 123)
Symmetry-distinct sites (fractional):
La: 0.0000 0.0000 0.0000 (multiplicity 1)  4 P 3.63, 8 Cl 3.66
Hg: 0.5000 0.5000 0.5000 (multiplicity 1)  4 Cl 2.57, 2 P 2.60
P: 0.5000 0.5000 0.0000 (multiplicity 1)  2 Hg 2.60
Cl: 0.0000 0.5000 0.5000 (multiplicity 2)  2 Hg 2.57


Density functional theory data (PBE-GGA) for La3HgPtCl after structural relaxation.

Properties
**Energy**: -4.83 eV/atom
**Formation energy (no corrections)**: -0.9977 eV/atom
**M_tot**: 0.003 μB per cell

a = 7.7789 Å, b = 4.8529 Å, c = 9.5882 Å
α = 90.00°, β = 101.65°, γ = 90.00°
Last column: nearest neighbours and their distance in Å.
Space group P2_1/m (No. 11)
Symmetry-distinct sites (fractional):
La: 0.0464 0.2500 0.3473 (multiplicity 2)  3 Pt 2.84-3.09
La: 0.2091 0.2500 0.9547 (multiplicity 2)  3 Cl 2.90-3.06, 1 Pt 2.98
La: 0.4239 0.7500 0.6224 (multiplicity 2)  1 Cl 2.85, 2 Pt 3.03
Hg: 0.2584 0.7500 0.2372 (multiplicity 2)  6 La 3.23-3.60, 1 Cl 3.48
Pt: 0.1975 0.2500 0.6424 (multiplicity 2)  6 La 2.84-3.09
Cl: 0.3976 0.7500 0.9147 (multiplicity 2)  4 La 2.85-3.06, 2 Cl 3.17


Density functional theory data (PBE-GGA) for RbLaHg2Cl8 after structural relaxation.

Properties
**Energy**: -3.16 eV/atom
**Formation energy (no corrections)**: -1.3905 eV/atom
**M_tot**: 0.000 μB per cell

a = 6.9073 Å, b = 6.9108 Å, c = 9.3973 Å
α = 72.78°, β = 80.27°, γ = 85.51°
Last column: nearest neighbours and their distance in Å.
Space group P-1 (No. 2)
Symmetry-distinct sites (fractional):
Rb: 0.0000 0.0000 0.0000 (multiplicity 1)  6 Cl 3.26-3.44
La: 0.0000 0.0000 0.5000 (multiplicity 1)  6 Cl 2.74-2.94
Hg: 0.4790 0.4732 0.2269 (multiplicity 2)  2 Cl 2.38-2.40
Cl: 0.1391 0.7367 0.7498 (multiplicity 2)  1 La 2.78, 1 Hg 2.92
Cl: 0.1866 0.7897 0.3084 (multiplicity 2)  1 La 2.74, 1 Hg 3.04
Cl: 0.3444 0.2438 0.4628 (multiplicity 2)  1 Hg 2.40
Cl: 0.4017 0.2686 0.9954 (multiplicity 2)  1 Hg 2.38


Density functional theory data (PBE-GGA) for La6HgRh2Cl3 after structural relaxation.

Properties
**Energy**: -5.33 eV/atom
**Formation energy (no corrections)**: -1.1535 eV/atom
**M_tot**: 0.002 μB per cell

a = 19.4098 Å, b = 4.2174 Å, c = 9.0596 Å
α = 90.00°, β = 106.76°, γ = 90.00°
Last column: nearest neighbours and their distance in Å.
Space group C2/m (No. 12)
Symmetry-distinct sites (fractional):
La: 0.0161 0.0000 0.2678 (multiplicity 4)  1 Rh 2.84, 2 Cl 3.06, 2 Hg 3.16
La: 0.1663 0.5000 0.1181 (multiplicity 4)  2 Rh 2.90, 1 Hg 3.09, 1 Cl 3.16
La: 0.1797 0.5000 0.5666 (multiplicity 4)  3 Rh 2.82-2.91
Hg: 0.0000 0.5000 0.0000 (multiplicity 2)  6 La 3.09-3.16
Rh: 0.1686 0.0000 0.3388 (multiplicity 4)  6 La 2.82-2.91
Cl: 0.0000 0.5000 0.5000 (multiplicity 2)  6 La 3.06-3.36
Cl: 0.1663 0.0000 0.8419 (multiplicity 4)  6 La 3.16-3.39